[1]
SrWAu2, relaxed, DFT PBE-GGA; energy above the most stable polymorph in this dataset = 144 meV per atom; space group = No. 8; formation energy = 9.373 kcal/mol of atoms; spin magnetization = 0.231 μB per atom
1.0
-1.853 2.365 -4.795
-0.731 -0.240 -5.605
-4.925 -1.921 -0.643
Sr Au W
1 2 1
Cartesian
-4.045 -0.032 -5.493
-0.353 -0.127 -0.081
-5.388 0.209 -8.123
-1.478 0.256 -2.867

[2]
SrWAu2, relaxed, DFT PBE-GGA; energy above the most stable polymorph in this dataset = 352 meV per atom; space group = No. 119; formation energy = 14.174 kcal/mol of atoms; spin magnetization = 0.696 μB per atom
1.0
5.660 -0.008 0.000
2.486 5.085 0.000
-4.073 -2.538 3.001
Au W Sr
2 1 1
Cartesian
0.000 0.000 0.000
1.243 2.543 1.500
2.830 -0.004 1.500
4.073 2.538 0.000

[3]
SrW2Au, relaxed, DFT PBE-GGA; energy above the most stable polymorph in this dataset = 1117 meV per atom; space group = No. 225; formation energy = 35.573 kcal/mol of atoms; spin magnetization = 0.000 μB per atom
1.0
0.000 3.365 3.365
3.365 0.000 3.365
3.365 3.365 0.000
W Au Sr
2 1 1
Cartesian
1.682 1.682 1.682
5.047 5.047 5.047
3.365 3.365 3.365
0.000 0.000 0.000

[4]
SrWAu2, relaxed, DFT PBE-GGA; energy above the most stable polymorph in this dataset = 128 meV per atom; space group = No. 12; formation energy = 8.992 kcal/mol of atoms; spin magnetization = 0.000 μB per atom
1.0
-0.727 -0.256 -4.601
-2.150 -2.759 -3.087
-5.886 3.106 -0.398
Au Sr W
2 1 1
Cartesian
-3.990 -0.212 -4.101
-3.267 -2.758 -7.630
-6.572 0.068 -6.065
-2.191 0.023 -2.022